Y2Zn5IrRh2 after structural relaxation. Source: Alexandria, functional PBE.

Cell: 9.431 9.431 3.886 Å, 90.00 90.00 90.00°
Space group P4/mbm (No. 127)
Inequivalent atoms, fractional coordinates:
Y (0.177, 0.323, 0.000) x4
Zn (0.000, 0.500, 0.500) x2
Zn (0.055, 0.808, 0.500) x8
Ir (0.000, 0.000, 0.000) x2
Rh (0.124, 0.624, 0.000) x4

Values from the calculation:
Total DFT energy (no corrections) (eV per atom): -4.723
Total moment (Bohr magnetons per cell): 0.000
N(E_F) (states/eV per cell): 12.7

---

Y2ZnIr2Rh5 after structural relaxation. Source: Alexandria, functional PBE.

Cell: 9.326 9.326 4.000 Å, 90.00 90.00 90.00°
Space group P4/mbm (No. 127)
Inequivalent atoms, fractional coordinates:
Y (0.165, 0.335, 0.000) x4
Zn (0.000, 0.000, 0.000) x2
Ir (0.133, 0.633, 0.000) x4
Rh (0.000, 0.500, 0.500) x2
Rh (0.067, 0.803, 0.500) x8

Values from the calculation:
Total DFT energy (no corrections) (eV per atom): -7.227
Total moment (Bohr magnetons per cell): 0.000
N(E_F) (states/eV per cell): 25.8

---

YZrIrRh2 after structural relaxation. Source: Alexandria, functional PBE.

Cell: 4.645 4.645 5.455 Å, 90.00 90.00 90.00°
Space group P4/mmm (No. 123)
Inequivalent atoms, fractional coordinates:
Y (0.000, 0.000, 0.000) x1
Zr (0.000, 0.000, 0.500) x1
Ir (0.500, 0.500, 0.000) x1
Rh (0.000, 0.500, 0.500) x2

Values from the calculation:
Total DFT energy (no corrections) (eV per atom): -6.594
Total moment (Bohr magnetons per cell): 0.000
N(E_F) (states/eV per cell): 2.4

---

Zn2IrRh6 after structural relaxation. Source: Alexandria, functional PBE.

Cell: 4.636 13.785 4.667 Å, 90.00 119.48 90.00°
Space group C2/m (No. 12)
Inequivalent atoms, fractional coordinates:
Zn (0.000, 0.164, 0.000) x4
Ir (0.000, 0.000, 0.500) x2
Rh (0.161, 0.500, 0.828) x4
Rh (0.167, 0.331, 0.329) x8

Values from the calculation:
Total DFT energy (no corrections) (eV per atom): -6.143
Total moment (Bohr magnetons per cell): 0.000
N(E_F) (states/eV per cell): 26.5

---

ZnIrRh after structural relaxation. Source: Alexandria, functional PBE.

Cell: 2.745 2.745 11.351 Å, 90.00 90.00 90.00°
Space group I4mm (No. 107)
Inequivalent atoms, fractional coordinates:
Zn (0.000, 0.000, 0.000) x2
Ir (0.000, 0.000, 0.330) x2
Rh (0.000, 0.000, 0.668) x2

Values from the calculation:
Total DFT energy (no corrections) (eV per atom): -5.953
Total moment (Bohr magnetons per cell): 0.000
Offset from the most stable computed form (kcal/mol of atoms): 0.00
N(E_F) (states/eV per cell): 6.2

---

Zn8Ir2Rh after structural relaxation. Source: Alexandria, functional PBE.

Cell: 4.169 6.966 11.136 Å, 90.00 90.00 90.00°
Space group Immm (No. 71)
Inequivalent atoms, fractional coordinates:
Zn (0.000, 0.000, 0.142) x4
Zn (0.000, 0.202, 0.355) x8
Zn (0.000, 0.317, 0.000) x4
Ir (0.000, 0.500, 0.213) x4
Rh (0.000, 0.500, 0.500) x2

Values from the calculation:
Total DFT energy (no corrections) (eV per atom): -3.434
Total moment (Bohr magnetons per cell): 0.000
N(E_F) (states/eV per cell): 7.5

---

Zn4IrRh after structural relaxation. Source: Alexandria, functional PBE.

Cell: 2.888 4.484 7.033 Å, 90.00 90.00 90.00°
Space group Pmmm (No. 47)
Inequivalent atoms, fractional coordinates:
Zn (0.000, 0.000, 0.188) x2
Zn (0.500, 0.500, 0.311) x2
Ir (0.500, 0.000, 0.500) x1
Rh (0.000, 0.500, 0.000) x1

Values from the calculation:
Total DFT energy (no corrections) (eV per atom): -3.659
Total moment (Bohr magnetons per cell): 0.000
Offset from the most stable computed form (kcal/mol of atoms): 0.00
N(E_F) (states/eV per cell): 3.4

---

ZnIr3Rh after structural relaxation. Source: Alexandria, functional PBE.

Cell: 4.470 4.470 4.470 Å, 90.00 90.00 90.00°
Space group Pm-3m (No. 221)
Inequivalent atoms, fractional coordinates:
Zn (0.000, 0.000, 0.000) x1
Ir (0.000, 0.000, 0.500) x3
Rh (0.500, 0.500, 0.500) x1

Values from the calculation:
Total DFT energy (no corrections) (eV per atom): -5.327
Total moment (Bohr magnetons per cell): 2.343
Offset from the most stable computed form (kcal/mol of atoms): 0.00
N(E_F) (states/eV per cell): 9.7

---

ZnIrRh2 after structural relaxation. Source: Alexandria, functional PBE.

Cell: 8.967 2.749 4.676 Å, 90.00 99.72 90.00°
Space group C2/m (No. 12)
Inequivalent atoms, fractional coordinates:
Zn (0.000, 0.000, 0.000) x2
Ir (0.000, 0.500, 0.500) x2
Rh (0.246, 0.000, 0.746) x4

Values from the calculation:
Total DFT energy (no corrections) (eV per atom): -6.323
Total moment (Bohr magnetons per cell): 0.000
N(E_F) (states/eV per cell): 7.6

---

ZnIrRh after structural relaxation. Source: Alexandria, functional PBE.

Cell: 2.7515 2.7515 6.5126 Å, 90.00 90.00 120.00°
Space group P3m1 (No. 156)
Inequivalent atoms, fractional coordinates:
Zn (0.0000, 0.0000, 0.0000) x1
Ir (0.6667, 0.3333, 0.3355) x1
Rh (0.3333, 0.6667, 0.6706) x1

Values from the calculation:
Total DFT energy (no corrections) (eV per atom): -5.946
Total moment (Bohr magnetons per cell): 0.000
Offset from the most stable computed form (kcal/mol of atoms): 0.15
N(E_F) (states/eV per cell): 2.5

---

Zn16Ir6Rh7 after structural relaxation. Source: Alexandria, functional PBE.

Cell: 12.009 12.009 12.009 Å, 90.00 90.00 90.00°
Space group Fm-3m (No. 225)
Inequivalent atoms, fractional coordinates:
Zn (0.123, 0.123, 0.123) x32
Zn (0.130, 0.130, 0.370) x32
Ir (0.000, 0.000, 0.254) x24
Rh (0.000, 0.000, 0.500) x4
Rh (0.000, 0.250, 0.250) x24

Values from the calculation:
Total DFT energy (no corrections) (eV per atom): -4.556
Total moment (Bohr magnetons per cell): 0.002
N(E_F) (states/eV per cell): 100.6

---

ZnIrRh2 after structural relaxation. Source: Alexandria, functional PBE.

Cell: 2.743 4.419 4.689 Å, 90.00 90.00 90.00°
Space group Pmm2 (No. 25)
Inequivalent atoms, fractional coordinates:
Zn (0.000, 0.000, 0.000) x1
Ir (0.000, 0.500, 0.653) x1
Rh (0.500, 0.000, 0.499) x1
Rh (0.500, 0.500, 0.151) x1

Values from the calculation:
Total DFT energy (no corrections) (eV per atom): -6.334
Total moment (Bohr magnetons per cell): 0.000
N(E_F) (states/eV per cell): 3.6